KBiP2Cl after structural relaxation. Source: Alexandria via LeMat-Bulk, functional PBE-GGA.

Properties
crystal system	tetragonal
energy above the lowest structure with this stoichiometry	906.0	meV/atom
uncorrected formation energy	24.027	kcal/mol of atoms

a = 5.9259 Å, b = 5.9259 Å, c = 5.3031 Å
α = 90.00°, β = 90.00°, γ = 90.00°
Positions (direct):
K1 0.0000 0.0000 0.0000
Bi1 0.5000 0.5000 0.5000
P1 0.0000 0.5000 0.0000
P2 0.5000 0.0000 0.0000
Cl1 0.0000 0.0000 0.5000

CePaGe after structural relaxation. Source: Alexandria via LeMat-Bulk, functional PBE-GGA.

Properties
formation energy	-0.3541	eV per atom
crystal system	tetragonal
energy above the lowest structure with this stoichiometry	150.5	meV/atom

a = 3.9519 Å, b = 3.9519 Å, c = 9.2872 Å
α = 90.00°, β = 90.00°, γ = 90.00°
Positions (direct):
Ce1 0.2500 0.2500 0.1106
Ce2 0.7500 0.7500 0.8894
Pa1 0.2500 0.2500 0.4001
Pa2 0.7500 0.7500 0.5999
Ge1 0.2500 0.2500 0.7406
Ge2 0.7500 0.7500 0.2594

Sc6CdCo2 after structural relaxation. Source: Alexandria via LeMat-Bulk, functional PBE-GGA.

Properties
formation energy	-0.2623	eV per atom
crystal system	orthorhombic

a = 7.7930 Å, b = 7.7930 Å, c = 7.7930 Å
α = 111.86°, β = 110.56°, γ = 106.05°
Positions (direct):
Sc1 0.0198 0.2336 0.7862
Sc2 0.1910 0.2868 0.4778
Sc3 0.1910 0.7132 0.9042
Sc4 0.3133 0.0153 0.7020
Sc5 0.3133 0.6113 0.2980
Sc6 0.4474 0.2336 0.2138
Sc7 0.5526 0.7664 0.7862
Sc8 0.6867 0.3887 0.7020
Sc9 0.6867 0.9847 0.2980
Sc10 0.8090 0.2868 0.0958
Sc11 0.8090 0.7132 0.5222
Sc12 0.9802 0.7664 0.2138
Cd1 0.0000 0.0000 0.0000
Cd2 0.5000 0.5000 0.0000
Co1 0.1187 0.6187 0.5000
Co2 0.3694 0.0000 0.3694
Co3 0.6306 0.0000 0.6306
Co4 0.8813 0.3813 0.5000

CdSiB3 after structural relaxation. Source: Alexandria via LeMat-Bulk, functional PBE-GGA.

Properties
crystal system	cubic
energy above the lowest structure with this stoichiometry	0.0	meV/atom
uncorrected formation energy	33.927	kcal/mol of atoms

a = 4.0739 Å, b = 4.0739 Å, c = 4.0739 Å
α = 90.00°, β = 90.00°, γ = 90.00°
Positions (direct):
Cd1 0.0000 0.0000 0.0000
Si1 0.5000 0.5000 0.5000
B1 0.0000 0.5000 0.5000
B2 0.5000 0.0000 0.5000
B3 0.5000 0.5000 0.0000

BeTcHg2 after structural relaxation. Source: Alexandria via LeMat-Bulk, functional PBE-GGA.

Properties
formation energy	0.4053	eV per atom
crystal system	orthorhombic

a = 7.3599 Å, b = 7.3599 Å, c = 7.3599 Å
α = 155.74°, β = 153.51°, γ = 36.22°
Positions (direct):
Be1 0.0000 0.0000 0.0000
Tc1 0.5000 0.5000 0.0000
Hg1 0.3306 0.8306 0.5000
Hg2 0.6694 0.1694 0.5000

NbCu2AgH after structural relaxation. Source: Alexandria via LeMat-Bulk, functional PBE-GGA.

Properties
E	-3.103	eV per atom
crystal system	tetragonal

a = 4.6734 Å, b = 4.6734 Å, c = 5.0210 Å
α = 90.00°, β = 90.00°, γ = 90.00°
Positions (direct):
Nb1 0.0000 0.0000 0.0000
Cu1 0.0000 0.5000 0.5000
Cu2 0.5000 0.0000 0.5000
Ag1 0.0000 0.0000 0.5000
H1 0.5000 0.5000 0.0000

ScVIr after structural relaxation. Source: Alexandria via LeMat-Bulk, functional PBE-GGA.

Properties
formation energy	-0.4197	eV per atom
crystal system	tetragonal
energy above the lowest structure with this stoichiometry	0.0	meV/atom

a = 5.5000 Å, b = 5.5000 Å, c = 5.5000 Å
α = 147.41°, β = 147.41°, γ = 46.76°
Positions (direct):
Sc1 0.0000 0.0000 0.0000
V1 0.6803 0.6803 0.0000
Ir1 0.3222 0.3222 0.0000